# GGA-PBE NaCdHg, optimized geometry
data_NaCdHg
_chemical_formula_sum 'Na4 Cd4 Hg4'
_cell_length_a 5.360
_cell_length_b 10.366
_cell_length_c 5.211
_cell_angle_alpha 90.00
_cell_angle_beta 91.04
_cell_angle_gamma 90.00
_symmetry_space_group_name_H-M 'C 1 2/c 1'
_symmetry_Int_Tables_number 15
_symmetry_space_group_name_Hall '-C 2yc'
loop_
_atom_site_label
_atom_site_fract_x
_atom_site_fract_y
_atom_site_fract_z
_atom_site_occupancy
Na1 0.000 0.093 0.250 1
Cd1 0.000 0.418 0.250 1
Hg1 0.000 0.245 0.750 1
# relative energy among the computed polymorphs	34	meV per atom